The following is a DFT calculation (PBE) of a relaxed TaNb3S crystal.

a b c (Å): 4.7379 8.0537 4.7875
angles (deg): 100.47 95.90 84.78
With the nearest neighbours (Å) after each atom.
Fractional positions:
Nb (0.2647, 0.2928, 0.2185)  2 S 2.54-2.55, 2 Nb 2.74-2.83
Nb (0.7353, 0.7072, 0.7815)  2 S 2.54-2.55, 2 Nb 2.74-2.83
Ta (0.7933, 0.2880, 0.6682)  2 S 2.46-2.61
Ta (0.2067, 0.7120, 0.3318)  2 S 2.46-2.61
S (0.7717, 0.1832, 0.1170)  4 Nb 2.46-2.61, 2 Ta 2.46-2.61
Nb (0.2597, 0.4875, 0.7518)  1 S 2.61, 2 Nb 2.74-2.92, 3 Ta 2.80-2.92
Nb (0.3458, 0.0666, 0.7025)  1 S 2.46, 1 Nb 2.57
S (0.2283, 0.8168, 0.8830)  4 Nb 2.46-2.61, 2 Ta 2.46-2.61
Nb (0.6542, 0.9334, 0.2975)  1 S 2.46, 1 Nb 2.57
Nb (0.7403, 0.5125, 0.2482)  1 S 2.61, 2 Nb 2.74-2.92, 3 Ta 2.80-2.92

Calculated values
- ΔE_f (raw) (eV per atom) = -0.259
- ρ (g/cm3) = 9.16
- SG = P-1 (2)

The following is a DFT calculation (PBE) of a relaxed Zr2SiS2 crystal.

a b c (Å): 2.8425 2.8425 14.7436
angles (deg): 90.00 90.00 90.00
With the nearest neighbours (Å) after each atom.
Fractional positions:
S (0.5000, 0.5000, 0.3547)  1 Zr 2.51
Si (0.5000, 0.5000, 0.0000)  2 Zr 2.72, 4 Si 2.84
S (0.5000, 0.5000, 0.6453)  1 Zr 2.51
Zr (0.5000, 0.5000, 0.8158)  1 S 2.51, 1 Si 2.72
Zr (0.5000, 0.5000, 0.1842)  1 S 2.51, 1 Si 2.72

Calculated values
- ΔE_f (raw) (eV per atom) = 0.388
- ρ (g/cm3) = 3.83
- SG = P4/mmm (123)

The following is a DFT calculation (PBE) of a relaxed K2UVTe4 crystal.

a b c (Å): 4.3883 7.3303 8.6722
angles (deg): 107.22 90.00 90.00
With the nearest neighbours (Å) after each atom.
Fractional positions:
K (0.0000, 0.5000, 0.5000)  6 Te 3.57-3.61
V (0.0000, 0.0000, 0.0000)  6 Te 2.89-2.91
K (0.5000, 0.0000, 0.5000)  6 Te 3.44-3.47
Te (0.5000, 0.7872, 0.8083)  2 V 2.91, 1 U 3.04
U (0.5000, 0.5000, 0.0000)  6 Te 3.04-3.08
Te (0.5000, 0.2128, 0.1917)  2 V 2.91, 1 U 3.04
Te (0.0000, 0.7539, 0.2065)  1 V 2.89, 2 U 3.08
Te (0.0000, 0.2461, 0.7935)  1 V 2.89, 2 U 3.08

Calculated values
- ΔE_f (raw) (eV per atom) = -0.732
- ρ (g/cm3) = 5.47
- SG = P2/m (10)

The following is a DFT calculation (PBE) of a relaxed HfZn2Pd5 crystal.

a b c (Å): 6.8240 6.8240 7.2655
angles (deg): 118.01 118.01 90.00
With the nearest neighbours (Å) after each atom.
Fractional positions:
Hf (0.2500, 0.2500, 0.5000)  10 Pd 2.72-2.79
Pd (0.3073, 0.8073, 0.3143)  3 Zn 2.61-2.64, 2 Hf 2.79, 4 Pd 2.79-2.90
Hf (0.7500, 0.7500, 0.5000)  10 Pd 2.72-2.79
Pd (0.6927, 0.1927, 0.6857)  3 Zn 2.61-2.64, 2 Hf 2.79, 4 Pd 2.79-2.90
Pd (0.0000, 0.0000, 0.0000)  4 Zn 2.62, 2 Hf 2.72
Pd (0.4931, 0.6927, 0.6857)  3 Zn 2.61-2.64, 2 Hf 2.79, 4 Pd 2.79-2.90
Zn (0.8546, 0.6454, 0.0000)  8 Pd 2.61-2.64, 1 Zn 2.81
Pd (0.8073, 0.0069, 0.3143)  3 Zn 2.61-2.64, 2 Hf 2.79, 4 Pd 2.79-2.90
Pd (0.5000, 0.5000, 0.0000)  4 Zn 2.62, 2 Hf 2.72
Zn (0.3546, 0.8546, 0.0000)  8 Pd 2.61-2.64, 1 Zn 2.81
Zn (0.6454, 0.1454, 0.0000)  8 Pd 2.61-2.64, 1 Zn 2.81
Pd (0.9931, 0.4931, 0.6857)  3 Zn 2.61-2.64, 2 Hf 2.79, 4 Pd 2.79-2.90
Pd (0.0069, 0.5069, 0.3143)  3 Zn 2.61-2.64, 2 Hf 2.79, 4 Pd 2.79-2.90
Pd (0.1927, 0.9931, 0.6857)  3 Zn 2.61-2.64, 2 Hf 2.79, 4 Pd 2.79-2.90
Pd (0.5069, 0.3073, 0.3143)  3 Zn 2.61-2.64, 2 Hf 2.79, 4 Pd 2.79-2.90
Zn (0.1454, 0.3546, 0.0000)  8 Pd 2.61-2.64, 1 Zn 2.81

Calculated values
- total DFT energy (no corrections) (eV per atom) = -5.36
- ρ (g/cm3) = 11.05
- SG = I4/mcm (140)

The following is a DFT calculation (PBE) of a relaxed Tl2CuTcO4 crystal.

a b c (Å): 5.2368 6.5061 10.1658
angles (deg): 84.05 75.07 66.27
With the nearest neighbours (Å) after each atom.
Fractional positions:
O (0.5355, 0.2938, 0.5776)  1 Tc 1.85, 1 Cu 2.05
O (0.1706, 0.2938, 0.4224)  1 Tc 1.85, 1 Cu 2.05
Tl (0.9214, 0.5000, 0.1571)  6 O 2.90-3.23
Tl (0.5786, 0.5000, 0.8429)  6 O 2.90-3.23
O (0.8868, 0.7062, 0.5776)  1 Tc 1.85, 1 Cu 2.05
Tl (0.8286, 0.0000, 0.3429)  6 O 2.90-3.23
O (0.2145, 0.2062, 0.9224)  1 Tc 1.85, 1 Cu 2.05
O (0.5794, 0.2062, 0.0776)  1 Tc 1.85, 1 Cu 2.05
Tl (0.1714, 0.0000, 0.6571)  6 O 2.90-3.23
O (0.3430, 0.7938, 0.0776)  1 Tc 1.85, 1 Cu 2.05
O (0.4070, 0.7062, 0.4224)  1 Tc 1.85, 1 Cu 2.05
Cu (0.7500, 0.5000, 0.5000)  4 O 2.05
O (0.8632, 0.7938, 0.9224)  1 Tc 1.85, 1 Cu 2.05
Cu (0.0000, 0.0000, 0.0000)  4 O 2.05
Tc (0.5000, 0.0000, 0.0000)  4 O 1.85
Tc (0.2500, 0.5000, 0.5000)  4 O 1.85

Calculated values
- ΔE_f (raw) (eV per atom) = -0.731
- ρ (g/cm3) = 6.88
- SG = Fddd (70)

The following is a DFT calculation (PBE) of a relaxed YHPdRh2 crystal.

a b c (Å): 4.1103 4.1103 4.1261
angles (deg): 90.00 90.00 90.00
With the nearest neighbours (Å) after each atom.
Fractional positions:
Y (0.5000, 0.5000, 0.5000)  4 Pd 2.91, 8 Rh 2.91
Rh (0.0000, 0.5000, 0.0000)  2 H 2.06
H (0.0000, 0.0000, 0.0000)  4 Rh 2.06, 2 Pd 2.06
Rh (0.5000, 0.0000, 0.0000)  2 H 2.06
Pd (0.0000, 0.0000, 0.5000)  2 H 2.06

Calculated values
- total DFT energy (no corrections) (eV per atom) = -6.47
- ρ (g/cm3) = 9.58
- SG = P4/mmm (123)

Question: What is the ρ in the fifth record?
Answer: 6.88 g/cm3

Question: Which value of ρ does entry 4 give?
Answer: 11.05 g/cm3

Question: ρ of number 6 (YHPdRh2)?
Answer: 9.58 g/cm3